No. 1
The following is a DFT calculation (GGA-PBE) of a relaxed structure of HoSc7Al4.

a b c (Å): 7.0214 7.0214 9.8540
angles (deg): 122.03 122.03 42.80
Closest atoms and distances in Å follow each position.
Atoms (fractional coordinates):
1 Ho 0.0000 0.0000 0.0000  2 Sc 2.56
2 Sc 0.0626 0.0626 0.3892  5 Al 2.88-3.19, 1 Sc 3.04
3 Sc 0.2164 0.2164 0.8753  4 Al 3.03-3.07, 6 Sc 3.04-3.38
4 Sc 0.3023 0.3023 0.3612  4 Al 2.74-2.95
5 Sc 0.5000 0.5000 0.0000  2 Ho 2.56, 4 Al 2.74-2.80
6 Sc 0.6977 0.6977 0.6388  4 Al 2.74-2.95
7 Sc 0.7836 0.7836 0.1247  4 Al 3.03-3.07, 6 Sc 3.04-3.38
8 Sc 0.9374 0.9374 0.6108  5 Al 2.88-3.19, 1 Sc 3.04
9 Al 0.3198 0.3198 0.6669  1 Al 2.70, 5 Sc 2.74-2.95
10 Al 0.4400 0.4400 0.2316  1 Al 2.70, 4 Sc 2.74-2.95
11 Al 0.5600 0.5600 0.7684  1 Al 2.70, 4 Sc 2.74-2.95
12 Al 0.6802 0.6802 0.3331  1 Al 2.70, 5 Sc 2.74-2.95

Values from the calculation:
* D(E_F): 12.92 states/eV per cell
* crystal system: monoclinic
* E_form: -0.08 eV/atom
* E_tot: -5.4040 eV per atom
* magnetic moment: 0.29 μB/cell

=====

No. 2
The following is a DFT calculation (GGA-PBE) of a relaxed structure of HoSc2Al6.

a b c (Å): 7.7066 7.7066 7.7066
angles (deg): 148.01 126.76 63.48
Closest atoms and distances in Å follow each position.
Atoms (fractional coordinates):
1 Ho 0.0000 0.0000 0.0000  4 Al 3.04
2 Sc 0.3800 0.8800 0.5000  10 Al 2.85-3.11, 1 Sc 3.15
3 Sc 0.6200 0.1200 0.5000  10 Al 2.85-3.11, 1 Sc 3.15
4 Al 0.0088 0.3107 0.6982  4 Al 2.61-2.75, 1 Sc 2.85
5 Al 0.3147 0.5000 0.8147  3 Al 2.56-2.61
6 Al 0.3875 0.6893 0.6982  4 Al 2.61-2.75, 1 Sc 2.85
7 Al 0.6125 0.3107 0.3018  4 Al 2.61-2.75, 1 Sc 2.85
8 Al 0.6853 0.5000 0.1853  3 Al 2.56-2.61
9 Al 0.9912 0.6893 0.3018  4 Al 2.61-2.75, 1 Sc 2.85

Values from the calculation:
* D(E_F): 5.05 states/eV per cell
* crystal system: orthorhombic
* energy above the lowest structure with this stoichiometry: 196 meV/atom
* E_form: -0.27 eV/atom
* E_tot: -4.6796 eV per atom
* magnetic moment: 0.00 μB/cell

=====

No. 3
The following is a DFT calculation (GGA-PBE) of a relaxed structure of HoSc3Al8.

a b c (Å): 5.4034 5.4034 8.8427
angles (deg): 90.00 90.00 120.00
Closest atoms and distances in Å follow each position.
Atoms (fractional coordinates):
1 Ho 0.0000 0.0000 0.0000  12 Al 3.17-3.21, 4 Sc 3.25-3.35
2 Sc 0.0000 0.0000 0.3670  12 Al 3.14-3.18, 1 Ho 3.25, 3 Sc 3.33
3 Sc 0.6667 0.3333 0.5000  12 Al 3.14-3.17, 4 Sc 3.20-3.33
4 Sc 0.6667 0.3333 0.8619  12 Al 3.14-3.25, 1 Sc 3.20, 3 Ho 3.35
5 Al 0.1620 0.3239 0.6802  6 Al 2.63-2.78
6 Al 0.1620 0.8380 0.6802  6 Al 2.63-2.78
7 Al 0.3333 0.6667 0.4345  6 Al 2.70-2.71
8 Al 0.3333 0.6667 0.9323  6 Al 2.75-2.76
9 Al 0.5047 0.0095 0.1869  6 Al 2.62-2.78
10 Al 0.5047 0.4953 0.1869  6 Al 2.62-2.78
11 Al 0.6761 0.8380 0.6802  6 Al 2.63-2.78
12 Al 0.9905 0.4953 0.1869  6 Al 2.62-2.78

Values from the calculation:
* D(E_F): 7.10 states/eV per cell
* crystal system: trigonal
* energy above the lowest structure with this stoichiometry: 6 meV/atom
* E_form: -0.48 eV/atom
* E_tot: -4.9413 eV per atom
* magnetic moment: 0.00 μB/cell

=====

No. 4
The following is a DFT calculation (GGA-PBE) of a relaxed structure of HoSc2Al6.

a b c (Å): 7.7930 7.7930 3.2853
angles (deg): 90.00 90.00 120.00
Closest atoms and distances in Å follow each position.
Atoms (fractional coordinates):
1 Ho 0.0000 0.0000 0.0000  12 Al 3.09, 2 Ho 3.29
2 Sc 0.3333 0.6667 0.0000  12 Al 3.06, 2 Sc 3.29
3 Sc 0.6667 0.3333 0.0000  12 Al 3.06, 2 Sc 3.29
4 Al 0.0000 0.3361 0.5000  3 Al 2.56-2.62
5 Al 0.0000 0.6639 0.5000  3 Al 2.56-2.62
6 Al 0.3361 0.0000 0.5000  3 Al 2.56-2.62
7 Al 0.3361 0.3361 0.5000  3 Al 2.56-2.62
8 Al 0.6639 0.0000 0.5000  3 Al 2.56-2.62
9 Al 0.6639 0.6639 0.5000  3 Al 2.56-2.62

Values from the calculation:
* D(E_F): 2.08 states/eV per cell
* crystal system: hexagonal
* energy above the lowest structure with this stoichiometry: 0 meV/atom
* E_form: -0.46 eV/atom
* E_tot: -4.8753 eV per atom
* magnetic moment: 0.00 μB/cell

=====

No. 5
The following is a DFT calculation (GGA-PBE) of a relaxed structure of Ho3Sc4Al4.

a b c (Å): 8.9561 8.9561 8.9561
angles (deg): 148.06 136.53 54.95
Closest atoms and distances in Å follow each position.
Atoms (fractional coordinates):
1 Ho 0.0000 0.0000 0.0000  6 Al 2.93-3.15
2 Ho 0.3897 0.8897 0.5000  4 Sc 3.26, 6 Al 3.31-3.52, 1 Ho 3.51
3 Ho 0.6103 0.1103 0.5000  4 Sc 3.26, 6 Al 3.31-3.52, 1 Ho 3.51
4 Sc 0.0458 0.3202 0.7256  4 Al 2.83-2.89, 1 Sc 2.99
5 Sc 0.4053 0.6798 0.7256  4 Al 2.83-2.89, 1 Sc 2.99
6 Sc 0.5947 0.3202 0.2744  4 Al 2.83-2.89, 1 Sc 2.99
7 Sc 0.9542 0.6798 0.2744  4 Al 2.83-2.89, 1 Sc 2.99
8 Al 0.1842 0.1842 0.0000  6 Sc 2.83-2.88, 1 Ho 2.93
9 Al 0.2963 0.5000 0.7963  1 Al 2.70, 2 Sc 2.89
10 Al 0.7037 0.5000 0.2037  1 Al 2.70, 2 Sc 2.89
11 Al 0.8158 0.8158 0.0000  6 Sc 2.83-2.88, 1 Ho 2.93

Values from the calculation:
* D(E_F): 10.43 states/eV per cell
* crystal system: orthorhombic
* E_form: -0.24 eV/atom
* E_tot: -5.1485 eV per atom
* magnetic moment: 0.00 μB/cell

=====

No. 6
The following is a DFT calculation (GGA-PBE) of a relaxed structure of SmHoScAl.

a b c (Å): 5.2632 5.2632 5.2632
angles (deg): 60.00 60.00 60.00
Closest atoms and distances in Å follow each position.
Atoms (fractional coordinates):
1 Sm 0.0000 0.0000 0.0000  4 Sc 3.22, 4 Al 3.22
2 Ho 0.5000 0.5000 0.5000  4 Sc 3.22, 4 Al 3.22
3 Sc 0.7500 0.7500 0.7500  4 Ho 3.22, 4 Sm 3.22
4 Al 0.2500 0.2500 0.2500  4 Ho 3.22, 4 Sm 3.22

Values from the calculation:
* D(E_F): 5.98 states/eV per cell
* crystal system: cubic
* E_form: -0.10 eV/atom
* E_tot: -4.9457 eV per atom
* magnetic moment: 0.61 μB/cell

=====

No. 7
The following is a DFT calculation (GGA-PBE) of a relaxed structure of TbHoScAl.

a b c (Å): 5.2297 5.2297 5.2297
angles (deg): 60.00 60.00 60.00
Closest atoms and distances in Å follow each position.
Atoms (fractional coordinates):
1 Tb 0.0000 0.0000 0.0000  4 Sc 3.20, 4 Al 3.20
2 Ho 0.5000 0.5000 0.5000  4 Al 3.20, 4 Sc 3.20
3 Sc 0.7500 0.7500 0.7500  4 Ho 3.20, 4 Tb 3.20
4 Al 0.2500 0.2500 0.2500  4 Ho 3.20, 4 Tb 3.20

Values from the calculation:
* D(E_F): 5.93 states/eV per cell
* crystal system: cubic
* E_form: -0.11 eV/atom
* E_tot: -4.9288 eV per atom
* magnetic moment: 0.12 μB/cell

=====

No. 8
The following is a DFT calculation (GGA-PBE) of a relaxed structure of HoScAlTc.

a b c (Å): 4.8167 4.8167 4.8167
angles (deg): 60.00 60.00 60.00
Closest atoms and distances in Å follow each position.
Atoms (fractional coordinates):
1 Ho 0.0000 0.0000 0.0000  4 Tc 2.95, 4 Al 2.95
2 Sc 0.5000 0.5000 0.5000  4 Al 2.95, 4 Tc 2.95
3 Al 0.7500 0.7500 0.7500  4 Sc 2.95, 4 Ho 2.95
4 Tc 0.2500 0.2500 0.2500  4 Sc 2.95, 4 Ho 2.95

Values from the calculation:
* D(E_F): 2.87 states/eV per cell
* crystal system: cubic
* E_form: -0.25 eV/atom
* E_tot: -6.5000 eV per atom
* magnetic moment: 0.00 μB/cell

=====

No. 9
The following is a DFT calculation (GGA-PBE) of a relaxed structure of HoThScAl.

a b c (Å): 5.2684 5.2684 5.2684
angles (deg): 60.00 60.00 60.00
Closest atoms and distances in Å follow each position.
Atoms (fractional coordinates):
1 Ho 0.0000 0.0000 0.0000  4 Sc 3.23, 4 Al 3.23
2 Th 0.5000 0.5000 0.5000  4 Al 3.23, 4 Sc 3.23
3 Sc 0.7500 0.7500 0.7500  4 Th 3.23, 4 Ho 3.23
4 Al 0.2500 0.2500 0.2500  4 Th 3.23, 4 Ho 3.23

Values from the calculation:
* D(E_F): 7.28 states/eV per cell
* crystal system: cubic
* E_form: -0.07 eV/atom
* E_tot: -5.5910 eV per atom
* magnetic moment: 0.00 μB/cell

=====

No. 10
The following is a DFT calculation (GGA-PBE) of a relaxed structure of HoTmScAl.

a b c (Å): 4.5537 4.6516 4.6557
angles (deg): 90.00 90.00 90.00
Closest atoms and distances in Å follow each position.
Atoms (fractional coordinates):
1 Ho 0.0000 0.0000 0.0000  4 Al 3.25, 4 Sc 3.26, 4 Tm 3.29
2 Tm 0.0000 0.5000 0.5000  4 Sc 3.25, 4 Al 3.26, 4 Ho 3.29
3 Sc 0.5000 0.0000 0.5000  4 Tm 3.25, 4 Ho 3.26, 4 Al 3.29
4 Al 0.5000 0.5000 0.0000  4 Ho 3.25, 4 Tm 3.26, 4 Sc 3.29

Values from the calculation:
* D(E_F): 4.81 states/eV per cell
* crystal system: orthorhombic
* energy above the lowest structure with this stoichiometry: 0 meV/atom
* E_form: -0.20 eV/atom
* E_tot: -4.9829 eV per atom
* magnetic moment: 0.00 μB/cell

=====

No. 11
The following is a DFT calculation (GGA-PBE) of a relaxed structure of HoTmScAl.

a b c (Å): 5.1948 5.1948 5.1948
angles (deg): 60.00 60.00 60.00
Closest atoms and distances in Å follow each position.
Atoms (fractional coordinates):
1 Ho 0.0000 0.0000 0.0000  4 Al 3.18, 4 Sc 3.18
2 Tm 0.5000 0.5000 0.5000  4 Sc 3.18, 4 Al 3.18
3 Sc 0.7500 0.7500 0.7500  4 Tm 3.18, 4 Ho 3.18
4 Al 0.2500 0.2500 0.2500  4 Ho 3.18, 4 Tm 3.18

Values from the calculation:
* D(E_F): 5.33 states/eV per cell
* crystal system: cubic
* energy above the lowest structure with this stoichiometry: 95 meV/atom
* E_form: -0.11 eV/atom
* E_tot: -4.8879 eV per atom
* magnetic moment: 0.02 μB/cell

=====

No. 12
The following is a DFT calculation (GGA-PBE) of a relaxed structure of HoScAlZn.

a b c (Å): 4.9161 4.9161 4.9161
angles (deg): 60.00 60.00 60.00
Closest atoms and distances in Å follow each position.
Atoms (fractional coordinates):
1 Ho 0.0000 0.0000 0.0000  4 Al 3.01, 4 Zn 3.01
2 Sc 0.5000 0.5000 0.5000  4 Al 3.01, 4 Zn 3.01
3 Al 0.7500 0.7500 0.7500  4 Sc 3.01, 4 Ho 3.01
4 Zn 0.2500 0.2500 0.2500  4 Ho 3.01, 4 Sc 3.01

Values from the calculation:
* D(E_F): 3.14 states/eV per cell
* crystal system: cubic
* E_form: -0.39 eV/atom
* E_tot: -4.3678 eV per atom
* magnetic moment: 0.00 μB/cell

=====

The highest E_form belongs to which entry? HoThScAl